The following is a DFT calculation (PBE) of a geometry-optimized ReIr2Rh6 structure.

a b c (Å): 4.4561 4.5458 8.1389
angles (deg): 107.34 90.00 119.35
Last column: nearest neighbours and their distance in Å.
Fractional coordinates of all 9 atoms:
Re  0.0000  0.0000  0.5000  10 Rh 2.58-2.71
Ir  0.7048  0.4096  0.9002  9 Rh 2.63-2.92, 2 Ir 2.71
Ir  0.2952  0.5904  0.0998  9 Rh 2.63-2.92, 2 Ir 2.71
Rh  0.0045  0.0091  0.8187  1 Re 2.58, 4 Rh 2.61-2.66, 4 Ir 2.63-2.68
Rh  0.6872  0.3745  0.2300  6 Rh 2.61-2.76, 1 Re 2.69, 3 Ir 2.73-2.74
Rh  0.3128  0.6255  0.7700  6 Rh 2.61-2.76, 1 Re 2.69, 3 Ir 2.73-2.74
Rh  0.6861  0.3723  0.5638  3 Re 2.62-2.71, 7 Rh 2.66-2.79, 1 Ir 2.69
Rh  0.3139  0.6277  0.4362  3 Re 2.62-2.71, 7 Rh 2.66-2.79, 1 Ir 2.69
Rh  0.9955  0.9909  0.1813  1 Re 2.58, 4 Rh 2.61-2.66, 4 Ir 2.63-2.68

**Excess energy over the best structure of this formula in the dataset**: 0.0 meV/atom
**SG**: C2/m (12)

The following is a DFT calculation (PBE) of a geometry-optimized Re2Ir2Rh structure.

a b c (Å): 7.5195 7.5195 2.7421
angles (deg): 90.00 90.00 90.00
Last column: nearest neighbours and their distance in Å.
Fractional coordinates of all 10 atoms:
Re  0.1707  0.6707  0.5000  6 Ir 2.56-2.64, 2 Re 2.74
Re  0.6707  0.8293  0.5000  6 Ir 2.56-2.64, 2 Re 2.74
Re  0.8293  0.3293  0.5000  6 Ir 2.56-2.64, 2 Re 2.74
Re  0.3293  0.1707  0.5000  6 Ir 2.56-2.64, 2 Re 2.74
Ir  0.3744  0.8744  0.0000  6 Re 2.56-2.64, 3 Ir 2.67-2.74
Ir  0.8744  0.6256  0.0000  6 Re 2.56-2.64, 3 Ir 2.67-2.74
Ir  0.6256  0.1256  0.0000  6 Re 2.56-2.64, 3 Ir 2.67-2.74
Ir  0.1256  0.3744  0.0000  6 Re 2.56-2.64, 3 Ir 2.67-2.74
Rh  0.0000  0.0000  0.0000  2 Rh 2.74, 4 Ir 2.97
Rh  0.5000  0.5000  0.0000  2 Rh 2.74, 4 Ir 2.97

**SG**: P4/mbm (127)

The following is a DFT calculation (PBE) of a geometry-optimized Re2IrRh structure.

a b c (Å): 2.7411 2.7411 7.8571
angles (deg): 90.00 90.00 90.00
Last column: nearest neighbours and their distance in Å.
Fractional coordinates of all 4 atoms:
Re  0.0000  0.0000  0.9906  4 Ir 2.65, 8 Re 2.74-2.86
Re  0.5000  0.5000  0.2589  4 Rh 2.66, 8 Re 2.74-2.86
Ir  0.5000  0.5000  0.7607  4 Re 2.65, 4 Ir 2.74, 4 Rh 2.88
Rh  0.0000  0.0000  0.4899  4 Re 2.66, 4 Rh 2.74, 4 Ir 2.88

**Excess energy over the best structure of this formula in the dataset**: 134.5 meV/atom
**SG**: P4mm (99)

The following is a DFT calculation (PBE) of a geometry-optimized ReIrRh2 structure.

a b c (Å): 6.0621 4.7525 2.7168
angles (deg): 90.02 63.36 120.60
Last column: nearest neighbours and their distance in Å.
Fractional coordinates of all 4 atoms:
Re  0.5000  0.5000  0.0000  2 Ir 2.71, 2 Re 2.72, 8 Rh 2.74
Ir  0.0000  0.5000  0.5000  2 Re 2.71, 2 Ir 2.72, 8 Rh 2.74
Rh  0.0000  0.0000  0.0000  4 Rh 2.71-2.72, 4 Ir 2.74, 4 Re 2.74
Rh  0.5000  0.0000  0.5000  4 Rh 2.71-2.72, 4 Re 2.74, 4 Ir 2.74

**Excess energy over the best structure of this formula in the dataset**: 62.4 meV/atom
**SG**: Cmmm (65)

The following is a DFT calculation (PBE) of a geometry-optimized ReIr2Rh structure.

a b c (Å): 4.7480 4.7480 2.7276
angles (deg): 90.00 90.00 109.55
Last column: nearest neighbours and their distance in Å.
Fractional coordinates of all 4 atoms:
Re  0.5000  0.0000  0.5000  2 Re 2.73, 8 Ir 2.74, 2 Rh 2.74
Ir  0.0000  0.0000  0.0000  4 Ir 2.73-2.74, 4 Rh 2.74, 4 Re 2.74
Ir  0.5000  0.5000  0.0000  4 Ir 2.73-2.74, 4 Re 2.74, 4 Rh 2.74
Rh  0.0000  0.5000  0.5000  2 Rh 2.73, 8 Ir 2.74, 2 Re 2.74

**Excess energy over the best structure of this formula in the dataset**: 40.3 meV/atom
**SG**: Cmmm (65)

The following is a DFT calculation (PBE) of a geometry-optimized ReIr2Rh structure.

a b c (Å): 9.0599 9.0599 9.0599
angles (deg): 17.44 17.44 17.44
Last column: nearest neighbours and their distance in Å.
Fractional coordinates of all 4 atoms:
Re  0.5000  0.5000  0.5000  3 Rh 2.70, 3 Ir 2.70, 6 Re 2.75
Ir  0.0000  0.0000  0.0000  9 Ir 2.75-2.77, 3 Rh 2.77
Ir  0.2485  0.2485  0.2485  3 Re 2.70, 9 Ir 2.75-2.77
Rh  0.7514  0.7514  0.7514  3 Re 2.70, 6 Rh 2.75, 3 Ir 2.77

**Excess energy over the best structure of this formula in the dataset**: 113.0 meV/atom
**SG**: R3m (160)

The following is a DFT calculation (PBE) of a geometry-optimized ReIr5Rh4 structure.

a b c (Å): 2.7321 2.7321 19.3227
angles (deg): 90.00 90.00 90.00
Last column: nearest neighbours and their distance in Å.
Fractional coordinates of all 10 atoms:
Re  0.0000  0.0000  0.0000  8 Ir 2.71, 4 Re 2.73
Ir  0.5000  0.5000  0.0981  4 Re 2.71, 4 Ir 2.73, 4 Rh 2.79
Ir  0.5000  0.5000  0.3003  8 Rh 2.70-2.73, 4 Ir 2.73
Ir  0.5000  0.5000  0.5000  8 Rh 2.73, 4 Ir 2.73
Ir  0.5000  0.5000  0.6997  8 Rh 2.70-2.73, 4 Ir 2.73
Ir  0.5000  0.5000  0.9019  4 Re 2.71, 4 Ir 2.73, 4 Rh 2.79
Rh  0.0000  0.0000  0.2025  8 Ir 2.70-2.79, 4 Rh 2.73
Rh  0.0000  0.0000  0.4002  8 Ir 2.73, 4 Rh 2.73
Rh  0.0000  0.0000  0.5998  8 Ir 2.73, 4 Rh 2.73
Rh  0.0000  0.0000  0.7975  8 Ir 2.70-2.79, 4 Rh 2.73

**SG**: P4/mmm (123)

The following is a DFT calculation (PBE) of a geometry-optimized ReIr2Rh8 structure.

a b c (Å): 4.5623 6.4929 6.4929
angles (deg): 83.36 79.35 79.35
Last column: nearest neighbours and their distance in Å.
Fractional coordinates of all 11 atoms:
Re  0.0000  0.0000  0.0000  6 Rh 2.54-2.56, 4 Ir 2.58-2.77
Ir  0.4463  0.1486  0.1486  5 Rh 2.53-2.59, 2 Re 2.58-2.77, 1 Ir 2.80
Ir  0.5537  0.8514  0.8514  5 Rh 2.53-2.59, 2 Re 2.58-2.77, 1 Ir 2.80
Rh  0.7847  0.1758  0.6735  1 Re 2.56, 1 Ir 2.59, 4 Rh 2.59-2.72
Rh  0.2153  0.3265  0.8242  1 Re 2.56, 1 Ir 2.59, 4 Rh 2.59-2.72
Rh  0.8773  0.2706  0.2706  2 Ir 2.53-2.57, 1 Re 2.54, 4 Rh 2.59-2.69
Rh  0.1227  0.7294  0.7294  2 Ir 2.53-2.57, 1 Re 2.54, 4 Rh 2.59-2.69
Rh  0.7847  0.6735  0.1758  1 Re 2.56, 1 Ir 2.59, 4 Rh 2.59-2.72
Rh  0.2153  0.8242  0.3265  1 Re 2.56, 1 Ir 2.59, 4 Rh 2.59-2.72
Rh  0.2950  0.4205  0.4205  1 Ir 2.56, 6 Rh 2.60-2.75
Rh  0.7050  0.5795  0.5795  1 Ir 2.56, 6 Rh 2.60-2.75

**Excess energy over the best structure of this formula in the dataset**: 328.7 meV/atom
**SG**: C2/m (12)

The following is a DFT calculation (PBE) of a geometry-optimized Re2Ir2Rh3 structure.

a b c (Å): 2.6760 4.3623 11.0529
angles (deg): 53.75 90.00 90.00
Last column: nearest neighbours and their distance in Å.
Fractional coordinates of all 7 atoms:
Re  0.5003  0.5785  0.2811  2 Re 2.68, 4 Ir 2.81, 8 Rh 2.84-2.90
Re  0.4997  0.4215  0.7189  2 Re 2.68, 4 Ir 2.81, 8 Rh 2.84-2.90
Ir  0.9995  0.7260  0.8491  3 Rh 2.52-2.56, 3 Ir 2.68-2.69, 4 Re 2.81
Ir  0.0005  0.2740  0.1509  3 Rh 2.52-2.56, 3 Ir 2.68-2.69, 4 Re 2.81
Rh  0.0002  0.8498  0.4334  4 Rh 2.48-2.68, 1 Ir 2.52
Rh  0.0000  0.0000  0.0000  4 Ir 2.56, 2 Rh 2.68, 4 Re 2.84
Rh  0.9998  0.1502  0.5666  4 Rh 2.48-2.68, 1 Ir 2.52

**SG**: P2/m (10)

The following is a DFT calculation (PBE) of a geometry-optimized ReIr6Rh8 structure.

a b c (Å): 7.2166 7.2166 6.6912
angles (deg): 57.37 57.37 60.00
Last column: nearest neighbours and their distance in Å.
Fractional coordinates of all 15 atoms:
Re  0.0000  0.0000  0.0000  6 Ir 2.60
Ir  0.3681  0.0757  0.8854  5 Rh 2.52-2.78, 3 Ir 2.54-2.80, 1 Re 2.60
Ir  0.9243  0.3292  0.1146  5 Rh 2.52-2.78, 3 Ir 2.54-2.80, 1 Re 2.60
Ir  0.3292  0.6319  0.1146  5 Rh 2.52-2.78, 3 Ir 2.54-2.80, 1 Re 2.60
Ir  0.6708  0.3681  0.8854  5 Rh 2.52-2.78, 3 Ir 2.54-2.80, 1 Re 2.60
Ir  0.0757  0.6708  0.8854  5 Rh 2.52-2.78, 3 Ir 2.54-2.80, 1 Re 2.60
Ir  0.6319  0.9243  0.1146  5 Rh 2.52-2.78, 3 Ir 2.54-2.80, 1 Re 2.60
Rh  0.5890  0.1657  0.3898  3 Ir 2.52-2.70, 4 Rh 2.60-2.80
Rh  0.8343  0.1445  0.6102  3 Ir 2.52-2.70, 4 Rh 2.60-2.80
Rh  0.1445  0.4110  0.6102  3 Ir 2.52-2.70, 4 Rh 2.60-2.80
Rh  0.7407  0.7407  0.7778  6 Ir 2.62-2.78, 6 Rh 2.80-2.91
Rh  0.2593  0.2593  0.2222  6 Ir 2.62-2.78, 6 Rh 2.80-2.91
Rh  0.8555  0.5890  0.3898  3 Ir 2.52-2.70, 4 Rh 2.60-2.80
Rh  0.1657  0.8555  0.3898  3 Ir 2.52-2.70, 4 Rh 2.60-2.80
Rh  0.4110  0.8343  0.6102  3 Ir 2.52-2.70, 4 Rh 2.60-2.80

**SG**: R-3 (148)

The following is a DFT calculation (PBE) of a geometry-optimized ReIrRh2 structure.

a b c (Å): 4.3905 4.8652 6.5288
angles (deg): 111.88 109.65 90.00
Last column: nearest neighbours and their distance in Å.
Fractional coordinates of all 8 atoms:
Re  0.6736  0.5409  0.3472  1 Ir 2.46, 4 Rh 2.60-2.71
Re  0.3264  0.6937  0.6528  1 Ir 2.46, 4 Rh 2.60-2.71
Ir  0.1728  0.1804  0.3457  1 Re 2.46, 5 Rh 2.63-2.74
Ir  0.8272  0.3347  0.6543  1 Re 2.46, 5 Rh 2.63-2.74
Rh  0.5616  0.9213  0.1232  2 Ir 2.63, 3 Re 2.66-2.77, 6 Rh 2.74-2.80
Rh  0.4384  0.2981  0.8768  2 Ir 2.63, 3 Re 2.66-2.77, 6 Rh 2.74-2.80
Rh  0.0677  0.5834  0.1355  2 Re 2.60, 3 Ir 2.67-2.74, 6 Rh 2.74-2.87
Rh  0.9323  0.9480  0.8645  2 Re 2.60, 3 Ir 2.67-2.74, 6 Rh 2.74-2.87

**Excess energy over the best structure of this formula in the dataset**: 244.4 meV/atom
**SG**: Ima2 (46)

The following is a DFT calculation (PBE) of a geometry-optimized ReIr8Rh2 structure.

a b c (Å): 4.5661 6.2184 7.0229
angles (deg): 112.41 103.97 100.90
Last column: nearest neighbours and their distance in Å.
Fractional coordinates of all 11 atoms:
Re  0.5000  0.0000  0.0000  4 Ir 2.58-2.64
Ir  0.1677  0.3180  0.2261  4 Ir 2.50-2.76, 2 Rh 2.64-2.70
Ir  0.9415  0.0919  0.7739  4 Ir 2.50-2.76, 2 Rh 2.64-2.70
Ir  0.7261  0.4226  0.0000  6 Ir 2.44-2.72, 2 Rh 2.63, 1 Re 2.64
Ir  0.7118  0.2118  0.4236  2 Rh 2.57, 1 Re 2.58, 6 Ir 2.86-2.87
Ir  0.2882  0.7882  0.5764  2 Rh 2.57, 1 Re 2.58, 6 Ir 2.86-2.87
Ir  0.2739  0.5774  0.0000  6 Ir 2.44-2.72, 2 Rh 2.63, 1 Re 2.64
Ir  0.0585  0.9081  0.2261  4 Ir 2.50-2.76, 2 Rh 2.64-2.70
Ir  0.8323  0.6820  0.7739  4 Ir 2.50-2.76, 2 Rh 2.64-2.70
Rh  0.6909  0.6909  0.3818  8 Ir 2.57-2.70
Rh  0.3091  0.3091  0.6182  8 Ir 2.57-2.70

**SG**: C2/m (12)

| no. | DFT formation energy (eV/atom) |
| --- | --- |
| 1 | 0.147 |
| 2 | 0.104 |
| 3 | -0.097 |
| 4 | -0.045 |
| 5 | -0.099 |
| 6 | -0.026 |
| 7 | -0.058 |
| 8 | 0.520 |
| 9 | 0.211 |
| 10 | 0.324 |
| 11 | 0.137 |
| 12 | 0.368 |